(1)
{
  "formula": "GdHo2Tc",
  "functional": "GGA-PBE",
  "state": "relaxed",
  "delta_e_f_mev_per_atom": -1,
  "sg": "No. 123",
  "e_above_lowest_polymorph_ev_per_atom": 0.000,
  "dos_at_fermi_per_ev_cell": 6.1,
  "cell": [[3.468, 0.000, 0.000], [0.000, 3.468, 0.000], [0.000, 0.000, 8.734]],
  "species": ["Gd", "Ho", "Ho", "Tc"],
  "fractional_positions": [[0.000, 0.000, 0.000], [0.500, 0.500, 0.314], [0.500, 0.500, 0.686], [0.000, 0.000, 0.500]]
}


(2)
{
  "formula": "Gd2HoTc",
  "functional": "GGA-PBE",
  "state": "relaxed",
  "delta_e_f_mev_per_atom": 57,
  "sg": "No. 123",
  "e_above_lowest_polymorph_ev_per_atom": 0.000,
  "dos_at_fermi_per_ev_cell": 5.2,
  "cell": [[3.464, 0.000, 0.000], [0.000, 3.464, 0.000], [0.000, 0.000, 8.884]],
  "species": ["Gd", "Gd", "Ho", "Tc"],
  "fractional_positions": [[0.000, 0.000, 0.189], [0.000, 0.000, 0.811], [0.500, 0.500, 0.500], [0.500, 0.500, 0.000]]
}


(3)
{
  "formula": "Gd2HoTc",
  "functional": "GGA-PBE",
  "state": "relaxed",
  "delta_e_f_mev_per_atom": 201,
  "sg": "No. 166",
  "e_above_lowest_polymorph_ev_per_atom": 0.144,
  "dos_at_fermi_per_ev_cell": 5.7,
  "cell": [[1.747, 1.009, 10.198], [-1.747, 1.009, 10.198], [0.000, -2.018, 10.198]],
  "species": ["Gd", "Gd", "Ho", "Tc"],
  "fractional_positions": [[0.233, 0.233, 0.233], [0.767, 0.767, 0.767], [0.000, 0.000, 0.000], [0.500, 0.500, 0.500]]
}


(4)
{
  "formula": "GdHo2Tc",
  "functional": "GGA-PBE",
  "state": "relaxed",
  "delta_e_f_mev_per_atom": 196,
  "sg": "No. 225",
  "e_above_lowest_polymorph_ev_per_atom": 0.197,
  "dos_at_fermi_per_ev_cell": 5.2,
  "cell": [[0.000, 3.641, 3.641], [3.641, 0.000, 3.641], [3.641, 3.641, 0.000]],
  "species": ["Gd", "Ho", "Ho", "Tc"],
  "fractional_positions": [[0.000, 0.000, 0.000], [0.250, 0.250, 0.250], [0.750, 0.750, 0.750], [0.500, 0.500, 0.500]]
}


(5)
{
  "formula": "GdHoTe",
  "functional": "GGA-PBE",
  "state": "relaxed",
  "sg": "No. 156",
  "e_form_raw_ev_per_atom": -0.50,
  "e_above_lowest_polymorph_ev_per_atom": 0.282,
  "dos_at_fermi_per_ev_cell": 3.1,
  "cell": [[5.160, 0.000, 0.000], [-2.580, 4.468, 0.000], [0.000, 0.000, 3.995]],
  "species": ["Gd", "Ho", "Te"],
  "fractional_positions": [[0.000, 0.000, 0.000], [0.667, 0.333, 0.507], [0.333, 0.667, 0.700]]
}


(6)
{
  "formula": "GdHoTe",
  "functional": "GGA-PBE",
  "state": "relaxed",
  "sg": "No. 107",
  "e_form_raw_ev_per_atom": -0.78,
  "e_above_lowest_polymorph_ev_per_atom": 0.000,
  "dos_at_fermi_per_ev_cell": 2.4,
  "cell": [[-1.938, 1.938, 5.805], [1.938, -1.938, 5.805], [1.938, 1.938, -5.805]],
  "species": ["Gd", "Ho", "Te"],
  "fractional_positions": [[0.000, 0.000, 0.000], [0.309, 0.309, 0.000], [0.661, 0.661, 0.000]]
}


(7)
{
  "formula": "Gd2HoTh",
  "functional": "GGA-PBE",
  "state": "relaxed",
  "delta_e_f_mev_per_atom": 39,
  "sg": "No. 123",
  "e_above_lowest_polymorph_ev_per_atom": 0.000,
  "dos_at_fermi_per_ev_cell": 6.8,
  "cell": [[3.566, 0.000, 0.000], [0.000, 3.566, 0.000], [0.000, 0.000, 10.096]],
  "species": ["Gd", "Gd", "Ho", "Th"],
  "fractional_positions": [[0.000, 0.000, 0.245], [0.000, 0.000, 0.755], [0.500, 0.500, 0.500], [0.500, 0.500, 0.000]]
}


(8)
{
  "formula": "GdHoTh2",
  "functional": "GGA-PBE",
  "state": "relaxed",
  "delta_e_f_mev_per_atom": 52,
  "sg": "No. 123",
  "e_above_lowest_polymorph_ev_per_atom": 0.000,
  "dos_at_fermi_per_ev_cell": 6.4,
  "cell": [[3.556, 0.000, 0.000], [0.000, 3.556, 0.000], [0.000, 0.000, 10.099]],
  "species": ["Gd", "Ho", "Th", "Th"],
  "fractional_positions": [[0.000, 0.000, 0.000], [0.000, 0.000, 0.500], [0.500, 0.500, 0.251], [0.500, 0.500, 0.749]]
}


(9)
{
  "formula": "Gd4HoTh",
  "functional": "GGA-PBE",
  "state": "relaxed",
  "delta_e_f_mev_per_atom": 306,
  "sg": "No. 216",
  "dos_at_fermi_per_ev_cell": 16.7,
  "cell": [[0.000, 4.618, 4.618], [4.618, 0.000, 4.618], [4.618, 4.618, 0.000]],
  "species": ["Gd", "Gd", "Gd", "Gd", "Ho", "Th"],
  "fractional_positions": [[0.124, 0.124, 0.124], [0.124, 0.124, 0.627], [0.124, 0.627, 0.124], [0.627, 0.124, 0.124], [0.500, 0.500, 0.500], [0.750, 0.750, 0.750]]
}


(10)
{
  "formula": "GdHo4Th",
  "functional": "GGA-PBE",
  "state": "relaxed",
  "delta_e_f_mev_per_atom": 301,
  "sg": "No. 216",
  "dos_at_fermi_per_ev_cell": 13.4,
  "cell": [[0.000, 4.616, 4.616], [4.616, 0.000, 4.616], [4.616, 4.616, 0.000]],
  "species": ["Gd", "Ho", "Ho", "Ho", "Ho", "Th"],
  "fractional_positions": [[0.000, 0.000, 0.000], [0.127, 0.624, 0.624], [0.624, 0.127, 0.624], [0.624, 0.624, 0.127], [0.624, 0.624, 0.624], [0.250, 0.250, 0.250]]
}


(11)
{
  "formula": "Gd2HoTh",
  "functional": "GGA-PBE",
  "state": "relaxed",
  "delta_e_f_mev_per_atom": 179,
  "sg": "No. 166",
  "e_above_lowest_polymorph_ev_per_atom": 0.140,
  "dos_at_fermi_per_ev_cell": 5.3,
  "cell": [[1.732, 1.000, 12.450], [-1.732, 1.000, 12.450], [0.000, -1.999, 12.450]],
  "species": ["Gd", "Gd", "Ho", "Th"],
  "fractional_positions": [[0.090, 0.090, 0.090], [0.910, 0.910, 0.910], [0.500, 0.500, 0.500], [0.000, 0.000, 0.000]]
}


(12)
{
  "formula": "Gd2HoTh",
  "functional": "GGA-PBE",
  "state": "relaxed",
  "delta_e_f_mev_per_atom": 153,
  "sg": "No. 225",
  "e_above_lowest_polymorph_ev_per_atom": 0.113,
  "dos_at_fermi_per_ev_cell": 5.7,
  "cell": [[0.000, 4.022, 4.022], [4.022, 0.000, 4.022], [4.022, 4.022, 0.000]],
  "species": ["Gd", "Gd", "Ho", "Th"],
  "fractional_positions": [[0.250, 0.250, 0.250], [0.750, 0.750, 0.750], [0.000, 0.000, 0.000], [0.500, 0.500, 0.500]]
}


(13)
{
  "formula": "Gd2HoTh",
  "functional": "GGA-PBE",
  "state": "relaxed",
  "delta_e_f_mev_per_atom": 39,
  "sg": "No. 123",
  "e_above_lowest_polymorph_ev_per_atom": 0.000,
  "dos_at_fermi_per_ev_cell": 5.2,
  "cell": [[5.019, 0.000, 0.000], [0.000, 5.019, 0.000], [0.000, 0.000, 5.071]],
  "species": ["Gd", "Gd", "Ho", "Th"],
  "fractional_positions": [[0.000, 0.500, 0.000], [0.500, 0.000, 0.000], [0.000, 0.000, 0.500], [0.500, 0.500, 0.500]]
}


(14)
{
  "formula": "GdHoTh2",
  "functional": "GGA-PBE",
  "state": "relaxed",
  "delta_e_f_mev_per_atom": 148,
  "sg": "No. 225",
  "e_above_lowest_polymorph_ev_per_atom": 0.096,
  "dos_at_fermi_per_ev_cell": 7.0,
  "cell": [[0.000, 3.995, 3.995], [3.995, 0.000, 3.995], [3.995, 3.995, 0.000]],
  "species": ["Gd", "Ho", "Th", "Th"],
  "fractional_positions": [[0.000, 0.000, 0.000], [0.500, 0.500, 0.500], [0.250, 0.250, 0.250], [0.750, 0.750, 0.750]]
}


(15)
{
  "formula": "GdHoTh2",
  "functional": "GGA-PBE",
  "state": "relaxed",
  "delta_e_f_mev_per_atom": 233,
  "sg": "No. 166",
  "e_above_lowest_polymorph_ev_per_atom": 0.181,
  "dos_at_fermi_per_ev_cell": 6.6,
  "cell": [[1.734, 1.001, 12.511], [-1.734, 1.001, 12.511], [0.000, -2.002, 12.511]],
  "species": ["Gd", "Ho", "Th", "Th"],
  "fractional_positions": [[0.000, 0.000, 0.000], [0.500, 0.500, 0.500], [0.413, 0.413, 0.413], [0.587, 0.587, 0.587]]
}


(16)
{
  "formula": "GdHoTmTh",
  "functional": "GGA-PBE",
  "state": "relaxed",
  "delta_e_f_mev_per_atom": 121,
  "sg": "No. 216",
  "dos_at_fermi_per_ev_cell": 7.4,
  "cell": [[0.000, 3.990, 3.990], [3.990, 0.000, 3.990], [3.990, 3.990, 0.000]],
  "species": ["Gd", "Ho", "Tm", "Th"],
  "fractional_positions": [[0.000, 0.000, 0.000], [0.750, 0.750, 0.750], [0.250, 0.250, 0.250], [0.500, 0.500, 0.500]]
}


(17)
{
  "formula": "Gd2HoTi",
  "functional": "GGA-PBE",
  "state": "relaxed",
  "delta_e_f_mev_per_atom": 418,
  "sg": "No. 166",
  "e_above_lowest_polymorph_ev_per_atom": 0.246,
  "dos_at_fermi_per_ev_cell": 6.4,
  "cell": [[1.674, 0.966, 11.747], [-1.674, 0.966, 11.747], [0.000, -1.933, 11.747]],
  "species": ["Gd", "Gd", "Ho", "Ti"],
  "fractional_positions": [[0.083, 0.083, 0.083], [0.917, 0.917, 0.917], [0.500, 0.500, 0.500], [0.000, 0.000, 0.000]]
}


(18)
{
  "formula": "Gd2HoTi",
  "functional": "GGA-PBE",
  "state": "relaxed",
  "delta_e_f_mev_per_atom": 172,
  "sg": "No. 123",
  "e_above_lowest_polymorph_ev_per_atom": 0.000,
  "dos_at_fermi_per_ev_cell": 5.9,
  "cell": [[3.407, 0.000, 0.000], [0.000, 3.407, 0.000], [0.000, 0.000, 9.494]],
  "species": ["Gd", "Gd", "Ho", "Ti"],
  "fractional_positions": [[0.000, 0.000, 0.222], [0.000, 0.000, 0.778], [0.500, 0.500, 0.500], [0.500, 0.500, 0.000]]
}


(19)
{
  "formula": "GdHo2Ti",
  "functional": "GGA-PBE",
  "state": "relaxed",
  "delta_e_f_mev_per_atom": 191,
  "sg": "No. 123",
  "dos_at_fermi_per_ev_cell": 5.6,
  "cell": [[4.781, 0.000, 0.000], [0.000, 4.781, 0.000], [0.000, 0.000, 4.765]],
  "species": ["Gd", "Ho", "Ho", "Ti"],
  "fractional_positions": [[0.000, 0.000, 0.000], [0.000, 0.500, 0.500], [0.500, 0.000, 0.500], [0.500, 0.500, 0.000]]
}


(20)
{
  "formula": "Gd2HoTl",
  "functional": "GGA-PBE",
  "state": "relaxed",
  "delta_e_f_mev_per_atom": -165,
  "sg": "No. 123",
  "e_above_lowest_polymorph_ev_per_atom": 0.051,
  "dos_at_fermi_per_ev_cell": 5.7,
  "cell": [[3.635, 0.000, 0.000], [0.000, 3.635, 0.000], [0.000, 0.000, 9.193]],
  "species": ["Gd", "Gd", "Ho", "Tl"],
  "fractional_positions": [[0.000, 0.000, 0.232], [0.000, 0.000, 0.768], [0.500, 0.500, 0.500], [0.500, 0.500, 0.000]]
}